No. 1
Computed, not measured: an optimized crystal structure of LiSc2CuO4 at the PBE level of DFT.

Summary:
For the volume, the calculation gives 176.81 Å³/cell. Its total energy is -7.392 eV per atom. The raw formation energy is -20.63 eV/f.u. The total magnetization is 0.00 μB/atom.

a = 4.1937 Å, b = 4.1937 Å, c = 10.0532 Å
α = 90.00°, β = 90.00°, γ = 90.00°
Fractional positions:
Li 0.0000 0.0000 0.0000
Li 0.5000 0.5000 0.5000
Sc 0.0000 0.0000 0.5000
Sc 0.0000 0.5000 0.2500
Sc 0.5000 0.0000 0.7500
Sc 0.5000 0.5000 0.0000
Cu 0.0000 0.5000 0.7500
Cu 0.5000 0.0000 0.2500
O 0.0000 0.0000 0.2834
O 0.0000 0.0000 0.7166
O 0.0000 0.5000 0.0364
O 0.0000 0.5000 0.4636
O 0.5000 0.0000 0.5364
O 0.5000 0.0000 0.9636
O 0.5000 0.5000 0.2166
O 0.5000 0.5000 0.7834


No. 2
Computed, not measured: an optimized crystal structure of Li2ScCuO at the PBE level of DFT.

Summary:
For the volume, the calculation gives 68.47 Å³/cell. Its total energy is -4.949 eV per atom. The raw formation energy is -5.53 eV/f.u. The total magnetization is 0.00 μB/atom.

a = 4.0514 Å, b = 4.0514 Å, c = 4.1715 Å
α = 90.00°, β = 90.00°, γ = 90.00°
Fractional positions:
Li 0.0000 0.5000 0.0000
Li 0.5000 0.0000 0.0000
Sc 0.0000 0.0000 0.5000
Cu 0.5000 0.5000 0.5000
O 0.0000 0.0000 0.0000


No. 3
Computed, not measured: an optimized crystal structure of LiCu2SeO6 at the PBE level of DFT.

Summary:
For the volume, the calculation gives 299.47 Å³/cell. Its total energy is -5.104 eV per atom. The raw formation energy is -7.70 eV/f.u. The total magnetization is 0.03 μB/atom.

a = 6.6459 Å, b = 6.6459 Å, c = 7.0013 Å
α = 97.57°, β = 97.57°, γ = 98.57°
Fractional positions:
Li 0.1707 0.8293 0.7500
Li 0.8293 0.1707 0.2500
Cu 0.3536 0.3843 0.8433
Cu 0.3843 0.3536 0.3433
Cu 0.6157 0.6464 0.6567
Cu 0.6464 0.6157 0.1567
Se 0.1098 0.8902 0.2500
Se 0.8902 0.1098 0.7500
O 0.1388 0.1553 0.2814
O 0.1553 0.1388 0.7814
O 0.1959 0.7929 0.0535
O 0.2071 0.8041 0.4465
O 0.3651 0.4558 0.5984
O 0.4558 0.3651 0.0984
O 0.5442 0.6349 0.9016
O 0.6349 0.5442 0.4016
O 0.7929 0.1959 0.5535
O 0.8041 0.2071 0.9465
O 0.8447 0.8612 0.2186
O 0.8612 0.8447 0.7186


No. 4
Computed, not measured: an optimized crystal structure of Li2CuSeO at the PBE level of DFT.

Summary:
For the volume, the calculation gives 61.00 Å³/cell. Its total energy is -4.349 eV per atom. The raw formation energy is -5.38 eV/f.u. The total magnetization is 0.00 μB/atom.

a = 3.8737 Å, b = 3.8737 Å, c = 4.0649 Å
α = 90.00°, β = 90.00°, γ = 90.00°
Fractional positions:
Li 0.0000 0.5000 0.0000
Li 0.5000 0.0000 0.0000
Cu 0.0000 0.0000 0.5000
Se 0.5000 0.5000 0.5000
O 0.0000 0.0000 0.0000


No. 5
Computed, not measured: an optimized crystal structure of LiCuSeO4 at the PBE level of DFT.

Summary:
For the volume, the calculation gives 157.58 Å³/cell. Its total energy is -5.063 eV per atom. The raw formation energy is -6.11 eV/f.u. The total magnetization is 0.00 μB/atom.

a = 5.9927 Å, b = 5.9927 Å, c = 5.9927 Å
α = 121.37°, β = 112.16°, γ = 95.87°
Fractional positions:
Li 0.0000 0.0000 0.0000
Li 0.5000 0.0000 0.5000
Cu 0.5000 0.0000 0.0000
Cu 0.5000 0.5000 0.5000
Se 0.1345 0.3845 0.7500
Se 0.8655 0.6155 0.2500
O 0.1921 0.7300 0.4621
O 0.2320 0.2700 0.9621
O 0.2590 0.2656 0.5067
O 0.2590 0.7523 0.9933
O 0.7410 0.2477 0.0067
O 0.7410 0.7344 0.4933
O 0.7680 0.7300 0.0379
O 0.8079 0.2700 0.5379


No. 6
Computed, not measured: an optimized crystal structure of Li10CuSi2O10 at the PBE level of DFT.

Summary:
For the volume, the calculation gives 482.32 Å³/cell. Its total energy is -5.739 eV per atom. The raw formation energy is -48.34 eV/f.u. The total magnetization is 0.04 μB/atom.

a = 5.2245 Å, b = 6.1726 Å, c = 15.4258 Å
α = 100.92°, β = 98.68°, γ = 90.96°
Fractional positions:
Li 0.0000 0.0000 0.0000
Li 0.0075 0.1470 0.8522
Li 0.0303 0.4549 0.3787
Li 0.0687 0.9388 0.3819
Li 0.1062 0.7651 0.5290
Li 0.2129 0.1678 0.7218
Li 0.2281 0.5909 0.7193
Li 0.2779 0.4274 0.2545
Li 0.2932 0.8506 0.2520
Li 0.3999 0.2533 0.4448
Li 0.4376 0.0795 0.5919
Li 0.4757 0.5634 0.5951
Li 0.4980 0.8712 0.1214
Li 0.5051 0.0182 0.9737
Li 0.5660 0.2930 0.1545
Li 0.7059 0.1282 0.3357
Li 0.7423 0.3772 0.7153
Li 0.7635 0.6411 0.2584
Li 0.8004 0.8899 0.6381
Li 0.9397 0.7253 0.8192
Cu 0.2263 0.5106 0.9115
Cu 0.2781 0.5076 0.0624
Si 0.5342 0.9175 0.7831
Si 0.5609 0.7364 0.4264
Si 0.9453 0.2819 0.5474
Si 0.9716 0.1008 0.1906
O 0.0648 0.0800 0.5984
O 0.0810 0.4195 0.7939
O 0.1018 0.5205 0.5960
O 0.2200 0.9118 0.7887
O 0.2296 0.2549 0.9744
O 0.2753 0.7634 0.9994
O 0.2857 0.1065 0.1850
O 0.4043 0.4978 0.3778
O 0.4247 0.5988 0.1798
O 0.4414 0.9383 0.3754
O 0.5144 0.7944 0.5319
O 0.5892 0.1010 0.7223
O 0.6090 0.6752 0.7271
O 0.6381 0.3004 0.5597
O 0.7296 0.9632 0.8802
O 0.7759 0.0550 0.0936
O 0.8681 0.7179 0.4141
O 0.8968 0.3431 0.2467
O 0.9168 0.9173 0.2515
O 0.9919 0.2239 0.4419


No. 7
Computed, not measured: an optimized crystal structure of Li2Cu2Si8O19 at the PBE level of DFT.

Summary:
For the volume, the calculation gives 407.14 Å³/cell. Its total energy is -7.206 eV per atom. The raw formation energy is -73.79 eV/f.u. The total magnetization is 0.07 μB/atom.

a = 5.0562 Å, b = 7.4239 Å, c = 12.0237 Å
α = 103.54°, β = 94.83°, γ = 109.47°
Fractional positions:
Li 0.0000 0.0000 0.0000
Li 0.2016 0.8045 0.2780
Cu 0.1356 0.3866 0.1979
Cu 0.5352 0.4042 0.0401
Si 0.0033 0.0704 0.5488
Si 0.1697 0.6687 0.0376
Si 0.3614 0.1409 0.7940
Si 0.3794 0.7105 0.6972
Si 0.5158 0.6431 0.4516
Si 0.5551 0.1105 0.1832
Si 0.5790 0.2303 0.4491
Si 0.8364 0.5556 0.7967
O 0.1015 0.5583 0.7290
O 0.1142 0.1095 0.6857
O 0.2643 0.1717 0.9202
O 0.2667 0.1164 0.4767
O 0.2831 0.8994 0.1257
O 0.3284 0.6183 0.3292
O 0.3335 0.6729 0.5566
O 0.4286 0.6070 0.9993
O 0.4441 0.9413 0.7644
O 0.4543 0.2938 0.1751
O 0.5867 0.1001 0.3198
O 0.6206 0.4564 0.4523
O 0.6481 0.3302 0.7947
O 0.6564 0.6615 0.7365
O 0.8090 0.8401 0.4826
O 0.8256 0.2150 0.5377
O 0.8395 0.1256 0.1276
O 0.9581 0.5394 0.1119
O 0.9728 0.6975 0.9303


No. 8
Computed, not measured: an optimized crystal structure of Li4CuSi2O7 at the PBE level of DFT.

Summary:
For the volume, the calculation gives 291.46 Å³/cell. Its total energy is -6.296 eV per atom. The raw formation energy is -30.84 eV/f.u. The total magnetization is 0.07 μB/atom.

a = 7.1428 Å, b = 7.1428 Å, c = 8.1128 Å
α = 93.80°, β = 93.80°, γ = 44.91°
Fractional positions:
Li 0.0962 0.4591 0.4235
Li 0.1452 0.8548 0.5000
Li 0.3996 0.7401 0.8525
Li 0.4591 0.0962 0.9235
Li 0.5433 0.8647 0.5686
Li 0.7401 0.3996 0.3525
Li 0.8548 0.1452 0.0000
Li 0.8647 0.5433 0.0686
Cu 0.2632 0.5897 0.1525
Cu 0.5897 0.2632 0.6525
Si 0.0289 0.6794 0.7769
Si 0.3111 0.9701 0.2060
Si 0.6794 0.0289 0.2769
Si 0.9701 0.3111 0.7060
O 0.0606 0.4361 0.8412
O 0.1365 0.7467 0.9286
O 0.2054 0.5739 0.6107
O 0.2315 0.9981 0.6742
O 0.3631 0.7398 0.3048
O 0.4361 0.0606 0.3412
O 0.4861 0.8510 0.0414
O 0.5739 0.2054 0.1107
O 0.7119 0.9417 0.7385
O 0.7398 0.3631 0.8048
O 0.7467 0.1365 0.4286
O 0.8510 0.4861 0.5414
O 0.9417 0.7119 0.2385
O 0.9981 0.2315 0.1742


No. 9
Computed, not measured: an optimized crystal structure of Li2CuSi2O6 at the PBE level of DFT.

Summary:
For the volume, the calculation gives 252.82 Å³/cell. Its total energy is -6.601 eV per atom. The raw formation energy is -24.09 eV/f.u. The total magnetization is 0.09 μB/atom.

a = 10.3019 Å, b = 5.1132 Å, c = 10.3917 Å
α = 74.72°, β = 28.61°, γ = 76.67°
Fractional positions:
Li 0.0540 0.4460 0.1100
Li 0.1400 0.8600 0.1960
Li 0.4460 0.0540 0.3900
Li 0.8600 0.1400 0.8040
Cu 0.0308 0.0308 0.9692
Cu 0.2808 0.2808 0.2192
Si 0.1861 0.6635 0.4777
Si 0.5773 0.7723 0.5865
Si 0.6635 0.1861 0.6727
Si 0.7723 0.5773 0.0639
O 0.1451 0.6051 0.3681
O 0.2047 0.9811 0.4610
O 0.3683 0.8819 0.6449
O 0.4536 0.4872 0.3208
O 0.4872 0.4536 0.7384
O 0.5116 0.9292 0.7628
O 0.6051 0.1451 0.8817
O 0.7890 0.8969 0.0453
O 0.8819 0.3683 0.1049
O 0.8969 0.7890 0.2689
O 0.9292 0.5116 0.7964
O 0.9811 0.2047 0.3531


No. 10
Computed, not measured: an optimized crystal structure of Li2Cu5Si4O14 at the PBE level of DFT.

Summary:
For the volume, the calculation gives 284.53 Å³/cell. Its total energy is -6.388 eV per atom. The raw formation energy is -44.29 eV/f.u. The total magnetization is 0.20 μB/atom.

a = 5.5378 Å, b = 7.5993 Å, c = 7.9233 Å
α = 64.29°, β = 89.33°, γ = 72.90°
Fractional positions:
Li 0.2386 0.3886 0.4472
Li 0.7614 0.6114 0.5528
Cu 0.0000 0.5000 0.0000
Cu 0.0818 0.1123 0.8148
Cu 0.3259 0.0744 0.2830
Cu 0.6741 0.9256 0.7170
Cu 0.9182 0.8877 0.1852
Si 0.1968 0.7136 0.5948
Si 0.4934 0.2707 0.8580
Si 0.5066 0.7293 0.1420
Si 0.8032 0.2864 0.4052
O 0.0336 0.3156 0.2680
O 0.1012 0.6752 0.4223
O 0.2114 0.8515 0.0409
O 0.2885 0.9125 0.5417
O 0.2997 0.2718 0.0161
O 0.4102 0.1638 0.7332
O 0.4607 0.5138 0.7138
O 0.5393 0.4862 0.2862
O 0.5898 0.8362 0.2668
O 0.7003 0.7282 0.9839
O 0.7115 0.0875 0.4583
O 0.7886 0.1485 0.9591
O 0.8988 0.3248 0.5777
O 0.9664 0.6844 0.7320


No. 11
Computed, not measured: an optimized crystal structure of Li4CuSi2O7 at the PBE level of DFT.

Summary:
For the volume, the calculation gives 145.06 Å³/cell. Its total energy is -6.307 eV per atom. The raw formation energy is -30.99 eV/f.u. The total magnetization is 0.08 μB/atom.

a = 5.3121 Å, b = 5.3121 Å, c = 6.7822 Å
α = 99.02°, β = 99.02°, γ = 50.32°
Fractional positions:
Li 0.1463 0.1463 0.4354
Li 0.2845 0.2933 0.8559
Li 0.7067 0.7155 0.1441
Li 0.8537 0.8537 0.5646
Cu 0.9885 0.0115 0.0000
Si 0.4008 0.4479 0.2897
Si 0.5521 0.5992 0.7103
O 0.0767 0.5130 0.3441
O 0.2185 0.6824 0.7750
O 0.3176 0.7815 0.2250
O 0.4870 0.9233 0.6559
O 0.5910 0.1505 0.1134
O 0.6675 0.3325 0.5000
O 0.8495 0.4090 0.8866


No. 12
Computed, not measured: an optimized crystal structure of Li2Cu2Si8O19 at the PBE level of DFT.

Summary:
For the volume, the calculation gives 423.40 Å³/cell. Its total energy is -7.197 eV per atom. The raw formation energy is -73.48 eV/f.u. The total magnetization is 0.06 μB/atom.

a = 7.4301 Å, b = 7.4301 Å, c = 12.4646 Å
α = 106.91°, β = 106.91°, γ = 40.33°
Fractional positions:
Li 0.1177 0.1177 0.1402
Li 0.8823 0.8823 0.8598
Cu 0.5231 0.0781 0.0932
Cu 0.9219 0.4769 0.9068
Si 0.0317 0.3887 0.6645
Si 0.0765 0.9163 0.3305
Si 0.0837 0.9235 0.6695
Si 0.1631 0.6905 0.0769
Si 0.3095 0.8369 0.9231
Si 0.4454 0.3063 0.5680
Si 0.6113 0.9683 0.3355
Si 0.6937 0.5546 0.4320
O 0.1097 0.8849 0.1996
O 0.1151 0.8903 0.8004
O 0.1265 0.1043 0.6656
O 0.1445 0.8555 0.0000
O 0.2434 0.1114 0.9727
O 0.2957 0.2824 0.6257
O 0.3125 0.6154 0.6012
O 0.3846 0.6875 0.3988
O 0.4225 0.2375 0.4313
O 0.4348 0.0388 0.2119
O 0.4613 0.3682 0.0781
O 0.6318 0.5387 0.9219
O 0.7176 0.7043 0.3743
O 0.7625 0.5775 0.5687
O 0.7739 0.0736 0.6170
O 0.8886 0.7566 0.0273
O 0.8957 0.8735 0.3344
O 0.9264 0.2261 0.3830
O 0.9612 0.5652 0.7881